(1)
CePmBiPd: optimized geometry, GGA-PBE.

Theoretical density ... 9.15 g/cm3
DFT formation energy ... -2.36 eV/f.u.

```
data_CePmBiPd
_chemical_formula_sum 'Ce4 Pm4 Bi4 Pd4'
_cell_length_a 7.583
_cell_length_b 7.583
_cell_length_c 7.583
_cell_angle_alpha 90.00
_cell_angle_beta 90.00
_cell_angle_gamma 90.00
_symmetry_space_group_name_H-M 'F -4 3 m'
_symmetry_Int_Tables_number 216
_symmetry_space_group_name_Hall 'F -4 2 3'
loop_
_atom_site_label
_atom_site_fract_x
_atom_site_fract_y
_atom_site_fract_z
_atom_site_occupancy
Ce1 0.000 0.000 0.000 1
Pm1 0.000 0.000 0.500 1
Bi1 0.250 0.250 0.750 1
Pd1 0.250 0.250 0.250 1
```


(2)
CePuBiPd: optimized geometry, GGA-PBE.

Theoretical density ... 10.94 g/cm3
DFT formation energy ... -1.70 eV/f.u.

```
data_CePuBiPd
_chemical_formula_sum 'Ce4 Pu4 Bi4 Pd4'
_cell_length_a 7.518
_cell_length_b 7.518
_cell_length_c 7.518
_cell_angle_alpha 90.00
_cell_angle_beta 90.00
_cell_angle_gamma 90.00
_symmetry_space_group_name_H-M 'F -4 3 m'
_symmetry_Int_Tables_number 216
_symmetry_space_group_name_Hall 'F -4 2 3'
loop_
_atom_site_label
_atom_site_fract_x
_atom_site_fract_y
_atom_site_fract_z
_atom_site_occupancy
Ce1 0.000 0.000 0.000 1
Pu1 0.000 0.000 0.500 1
Bi1 0.250 0.250 0.750 1
Pd1 0.250 0.250 0.250 1
```


(3)
CePu2Bi2Pd2: optimized geometry, GGA-PBE.

Theoretical density ... 11.76 g/cm3
DFT formation energy ... -3.63 eV/f.u.

```
data_CePu2Bi2Pd2
_chemical_formula_sum 'Ce3 Pu6 Bi6 Pd6'
_cell_length_a 4.7996
_cell_length_b 4.7996
_cell_length_c 26.7382
_cell_angle_alpha 90.00
_cell_angle_beta 90.00
_cell_angle_gamma 120.00
_symmetry_space_group_name_H-M 'R -3 m'
_symmetry_Int_Tables_number 166
_symmetry_space_group_name_Hall '-R 3 2"'
loop_
_atom_site_label
_atom_site_fract_x
_atom_site_fract_y
_atom_site_fract_z
_atom_site_occupancy
Ce1 0.0000 0.0000 0.0000 1
Pu1 0.0000 0.0000 0.1438 1
Bi1 0.0000 0.0000 0.2665 1
Pd1 0.0000 0.0000 0.4437 1
```